Record 1
Compound: MnCrTc2
Source: Alexandria via LeMat-Bulk
Functional: GGA-PBE
Structure: optimized geometry

Properties
**VASP energy**: -9.809 eV/atom
**N(E_F)**: 1.106 states/eV per atom
**Energy of formation**: 0.07 eV/atom

Cell lengths 3.0183, 3.0183, 5.8725 Å; angles 90.00, 90.00, 90.00 degrees
Space group P4/mmm (No. 123)
Asymmetric unit:
Mn (0.0000, 0.0000, 0.0000) x1
Cr (0.0000, 0.0000, 0.5000) x1
Tc (0.5000, 0.5000, 0.2544) x2

***

Record 2
Compound: MnCr8Tc2
Source: Alexandria via LeMat-Bulk
Functional: GGA-PBE
Structure: optimized geometry

Properties
**VASP energy**: -9.500 eV/atom
**N(E_F)**: 0.980 states/eV per atom
**Energy of formation**: 0.22 eV/atom

Cell lengths 2.5351, 6.0979, 9.4305 Å; angles 104.62, 95.35, 98.06 degrees
Space group P-1 (No. 2)
Asymmetric unit:
Mn (0.0000, 0.0000, 0.0000) x1
Cr (0.2488, 0.9717, 0.7547) x2
Cr (0.2516, 0.3411, 0.4092) x2
Cr (0.2588, 0.6776, 0.0816) x2
Cr (0.4858, 0.6404, 0.8322) x2
Tc (0.0445, 0.7247, 0.3561) x2

***

Record 3
Compound: MnCrTc2
Source: Alexandria via LeMat-Bulk
Functional: GGA-PBE
Structure: optimized geometry

Properties
**VASP energy**: -9.716 eV/atom
**N(E_F)**: 1.423 states/eV per atom
**Energy of formation**: 0.17 eV/atom

Cell lengths 2.6785, 3.7267, 5.2946 Å; angles 90.00, 90.00, 90.00 degrees
Space group Pmm2 (No. 25)
Asymmetric unit:
Mn (0.0000, 0.0000, 0.0000) x1
Cr (0.5000, 0.5000, 0.7667) x1
Tc (0.0000, 0.0000, 0.5170) x1
Tc (0.5000, 0.5000, 0.2449) x1

***

Record 4
Compound: MnCrTc2
Source: Alexandria via LeMat-Bulk
Functional: GGA-PBE
Structure: optimized geometry

Properties
**VASP energy**: -9.734 eV/atom
**N(E_F)**: 1.027 states/eV per atom
**Energy of formation**: 0.15 eV/atom

Cell lengths 5.3795, 7.3521, 2.6671 Å; angles 90.00, 90.00, 90.00 degrees
Space group Cmmm (No. 65)
Asymmetric unit:
Mn (0.0000, 0.0000, 0.0000) x2
Cr (0.0000, 0.5000, 0.0000) x2
Tc (0.2500, 0.2500, 0.5000) x4

***

Record 5
Compound: MnCr2Tc2
Source: Alexandria via LeMat-Bulk
Functional: GGA-PBE
Structure: optimized geometry

Properties
**VASP energy**: -9.454 eV/atom
**Offset from the most stable computed form**: 0 meV per atom
**N(E_F)**: 1.140 states/eV per atom
**Energy of formation**: 0.38 eV/atom

Cell lengths 7.0934, 7.0934, 2.7937 Å; angles 90.00, 90.00, 90.00 degrees
Space group P4/mbm (No. 127)
Asymmetric unit:
Mn (0.0000, 0.0000, 0.0000) x2
Cr (0.1544, 0.3456, 0.5000) x4
Tc (0.1461, 0.6461, 0.0000) x4

***

Record 6
Compound: MnCrTc2
Source: Alexandria via LeMat-Bulk
Functional: GGA-PBE
Structure: optimized geometry

Properties
**VASP energy**: -9.667 eV/atom
**N(E_F)**: 1.552 states/eV per atom
**Energy of formation**: 0.21 eV/atom

Cell lengths 2.6549, 2.6549, 25.8478 Å; angles 90.00, 90.00, 120.00 degrees
Space group R-3m (No. 166, hexagonal axes)
Asymmetric unit:
Mn (0.0000, 0.0000, 0.0000) x3
Cr (0.0000, 0.0000, 0.5000) x3
Tc (0.0000, 0.0000, 0.2514) x6

***

Record 7
Compound: MnCrTc2
Source: Alexandria via LeMat-Bulk
Functional: GGA-PBE
Structure: optimized geometry

Properties
**VASP energy**: -9.798 eV/atom
**N(E_F)**: 1.158 states/eV per atom
**Energy of formation**: 0.08 eV/atom

Cell lengths 3.0105, 4.2044, 8.4047 Å; angles 90.00, 90.00, 90.00 degrees
Space group Imm2 (No. 44)
Asymmetric unit:
Mn (0.0000, 0.0000, 0.0000) x2
Cr (0.0000, 0.5000, 0.2678) x2
Tc (0.0000, 0.0000, 0.5249) x2
Tc (0.0000, 0.5000, 0.7622) x2

***

Record 8
Compound: MnCrTc4
Source: Alexandria via LeMat-Bulk
Functional: GGA-PBE
Structure: optimized geometry

Properties
**VASP energy**: -9.654 eV/atom
**N(E_F)**: 1.090 states/eV per atom
**Energy of formation**: 0.39 eV/atom

Cell lengths 7.1874, 7.1874, 7.1874 Å; angles 90.00, 90.00, 90.00 degrees
Space group F-43m (No. 216)
Asymmetric unit:
Mn (0.0000, 0.0000, 0.0000) x4
Cr (0.2500, 0.2500, 0.2500) x4
Tc (0.1253, 0.1253, 0.6253) x16

***

Record 9
Compound: MnCrTc2
Source: Alexandria via LeMat-Bulk
Functional: GGA-PBE
Structure: optimized geometry

Properties
**VASP energy**: -9.719 eV/atom
**N(E_F)**: 1.218 states/eV per atom
**Energy of formation**: 0.16 eV/atom

Cell lengths 2.6691, 3.6715, 5.3537 Å; angles 90.00, 90.00, 90.00 degrees
Space group Pmmm (No. 47)
Asymmetric unit:
Mn (0.0000, 0.0000, 0.0000) x1
Cr (0.0000, 0.0000, 0.5000) x1
Tc (0.5000, 0.5000, 0.2485) x2

***

Record 10
Compound: MnCrTc2
Source: Alexandria via LeMat-Bulk
Functional: GGA-PBE
Structure: optimized geometry

Properties
**VASP energy**: -9.222 eV/atom
**N(E_F)**: 0.853 states/eV per atom
**Energy of formation**: 0.66 eV/atom

Cell lengths 6.7209, 6.7209, 5.2212 Å; angles 90.00, 90.00, 90.00 degrees
Space group I-42d (No. 122)
Asymmetric unit:
Mn (0.0000, 0.0000, 0.0000) x4
Cr (0.0000, 0.0000, 0.5000) x4
Tc (0.2235, 0.7500, 0.6250) x8

***

Record 11
Compound: MnCrTc2
Source: Alexandria via LeMat-Bulk
Functional: GGA-PBE
Structure: optimized geometry

Properties
**VASP energy**: -9.737 eV/atom
**N(E_F)**: 1.051 states/eV per atom
**Energy of formation**: 0.14 eV/atom

Cell lengths 6.0187, 6.0187, 6.0187 Å; angles 90.00, 90.00, 90.00 degrees
Space group F-43m (No. 216)
Asymmetric unit:
Mn (0.0000, 0.0000, 0.0000) x4
Cr (0.2500, 0.2500, 0.2500) x4
Tc (0.0000, 0.0000, 0.5000) x4
Tc (0.2500, 0.2500, 0.7500) x4

***

Record 12
Compound: Mn8CrTc3
Source: Alexandria via LeMat-Bulk
Functional: GGA-PBE
Structure: optimized geometry

Properties
**VASP energy**: -9.521 eV/atom
**N(E_F)**: 0.555 states/eV per atom
**Energy of formation**: -0.01 eV/atom

Cell lengths 4.6465, 4.6465, 22.7538 Å; angles 90.00, 90.00, 120.00 degrees
Space group R3m (No. 160, hexagonal axes)
Asymmetric unit:
Mn (0.0000, 0.0000, 0.0000) x3
Mn (0.0000, 0.0000, 0.4996) x3
Mn (0.1670, 0.3341, 0.0841) x9
Mn (0.1677, 0.3353, 0.5828) x9
Cr (0.0000, 0.0000, 0.8129) x3
Tc (0.0000, 0.0000, 0.1869) x3
Tc (0.0000, 0.0000, 0.3121) x3
Tc (0.0000, 0.0000, 0.6885) x3

***

Record 13
Compound: Mn2CrTe
Source: Alexandria via LeMat-Bulk
Functional: GGA-PBE
Structure: optimized geometry

Properties
**VASP energy**: -7.516 eV/atom
**Formation energy from raw total energies**: 1.04 eV/f.u.
**N(E_F)**: 0.552 states/eV per atom

Cell lengths 3.4773, 3.4773, 5.4962 Å; angles 90.00, 90.00, 90.00 degrees
Space group P4/mmm (No. 123)
Asymmetric unit:
Mn (0.0000, 0.0000, 0.2357) x2
Cr (0.5000, 0.5000, 0.0000) x1
Te (0.5000, 0.5000, 0.5000) x1

***

Record 14
Compound: MnCrTe3
Source: Alexandria via LeMat-Bulk
Functional: GGA-PBE
Structure: optimized geometry

Properties
**VASP energy**: -4.440 eV/atom
**Formation energy from raw total energies**: 6.02 eV/f.u.
**Offset from the most stable computed form**: 1382 meV per atom
**N(E_F)**: 2.768 states/eV per atom

Cell lengths 4.9483, 4.9483, 4.9483 Å; angles 90.00, 90.00, 90.00 degrees
Space group Pm-3m (No. 221)
Asymmetric unit:
Mn (0.0000, 0.0000, 0.0000) x1
Cr (0.5000, 0.5000, 0.5000) x1
Te (0.0000, 0.0000, 0.5000) x3

***

Record 15
Compound: Mn3CrTe8
Source: Alexandria via LeMat-Bulk
Functional: GGA-PBE
Structure: optimized geometry

Properties
**VASP energy**: -5.404 eV/atom
**Formation energy from raw total energies**: -2.59 eV/f.u.
**N(E_F)**: 0.383 states/eV per atom

Cell lengths 13.2598, 7.6431, 7.8639 Å; angles 90.00, 124.02, 90.00 degrees
Space group C2/m (No. 12)
Asymmetric unit:
Mn (0.0000, 0.0000, 0.0000) x2
Mn (0.2500, 0.2500, 0.0000) x4
Cr (0.0000, 0.5000, 0.0000) x2
Te (0.0047, 0.2493, 0.7625) x8
Te (0.2445, 0.0000, 0.2352) x4
Te (0.2459, 0.5000, 0.2378) x4

***

Record 16
Compound: Mn2CrTe4
Source: Alexandria via LeMat-Bulk
Functional: GGA-PBE
Structure: optimized geometry

Properties
**VASP energy**: -5.924 eV/atom
**Formation energy from raw total energies**: -0.94 eV/f.u.
**N(E_F)**: 0.439 states/eV per atom

Cell lengths 7.9251, 8.0863, 11.2118 Å; angles 90.00, 90.00, 90.00 degrees
Space group Imma (No. 74)
Asymmetric unit:
Mn (0.0000, 0.0000, 0.0000) x4
Mn (0.2500, 0.2500, 0.2500) x4
Cr (0.0000, 0.0000, 0.5000) x4
Te (0.0000, 0.0135, 0.2508) x8
Te (0.2461, 0.2500, 0.4980) x8

***

Record 17
Compound: Mn2CrTe6
Source: Alexandria via LeMat-Bulk
Functional: GGA-PBE
Structure: optimized geometry

Properties
**VASP energy**: -5.425 eV/atom
**Formation energy from raw total energies**: -2.01 eV/f.u.
**N(E_F)**: 0.332 states/eV per atom

Cell lengths 6.6908, 6.6908, 6.1952 Å; angles 90.00, 90.00, 120.00 degrees
Space group P-31m (No. 162)
Asymmetric unit:
Mn (0.3333, 0.6667, 0.0000) x2
Cr (0.0000, 0.0000, 0.0000) x1
Te (0.0000, 0.3352, 0.2449) x6

***

Record 18
Compound: MnCr4Te
Source: Alexandria via LeMat-Bulk
Functional: GGA-PBE
Structure: optimized geometry

Properties
**VASP energy**: -8.041 eV/atom
**Formation energy from raw total energies**: 2.56 eV/f.u.
**N(E_F)**: 1.071 states/eV per atom

Cell lengths 6.8709, 6.8709, 6.8709 Å; angles 90.00, 90.00, 90.00 degrees
Space group F-43m (No. 216)
Asymmetric unit:
Mn (0.0000, 0.0000, 0.0000) x4
Cr (0.1261, 0.1261, 0.3739) x16
Te (0.2500, 0.2500, 0.7500) x4

***

Record 19
Compound: Mn2CrTe
Source: Alexandria via LeMat-Bulk
Functional: GGA-PBE
Structure: optimized geometry

Properties
**VASP energy**: -7.465 eV/atom
**Formation energy from raw total energies**: 1.25 eV/f.u.
**N(E_F)**: 0.762 states/eV per atom

Cell lengths 3.4616, 3.4616, 5.5130 Å; angles 90.00, 90.00, 90.00 degrees
Space group P4mm (No. 99)
Asymmetric unit:
Mn (0.0000, 0.0000, 0.0000) x1
Mn (0.5000, 0.5000, 0.2377) x1
Cr (0.5000, 0.5000, 0.8031) x1
Te (0.0000, 0.0000, 0.4974) x1

***

Record 20
Compound: Mn2CrTe
Source: Alexandria via LeMat-Bulk
Functional: GGA-PBE
Structure: optimized geometry

Properties
**VASP energy**: -6.984 eV/atom
**Formation energy from raw total energies**: 3.17 eV/f.u.
**N(E_F)**: 1.342 states/eV per atom

Cell lengths 3.9560, 3.9560, 15.8584 Å; angles 90.00, 90.00, 90.00 degrees
Space group I-42d (No. 122)
Asymmetric unit:
Mn (0.1815, 0.2500, 0.1250) x8
Cr (0.0000, 0.0000, 0.0000) x4
Te (0.0000, 0.0000, 0.5000) x4

***

Record 21
Compound: MnCrTe3
Source: Alexandria via LeMat-Bulk
Functional: GGA-PBE
Structure: optimized geometry

Properties
**VASP energy**: -4.528 eV/atom
**Formation energy from raw total energies**: 5.58 eV/f.u.
**Offset from the most stable computed form**: 1293 meV per atom
**N(E_F)**: 2.063 states/eV per atom

Cell lengths 5.1148, 5.1148, 5.1148 Å; angles 90.00, 90.00, 90.00 degrees
Space group Pm-3m (No. 221)
Asymmetric unit:
Mn (0.0000, 0.0000, 0.0000) x1
Cr (0.5000, 0.5000, 0.5000) x1
Te (0.0000, 0.5000, 0.5000) x3

***

Record 22
Compound: Mn2CrTe
Source: Alexandria via LeMat-Bulk
Functional: GGA-PBE
Structure: optimized geometry

Properties
**VASP energy**: -7.538 eV/atom
**Formation energy from raw total energies**: 0.95 eV/f.u.
**N(E_F)**: 1.040 states/eV per atom

Cell lengths 3.8554, 3.8554, 7.9960 Å; angles 90.00, 90.00, 90.00 degrees
Space group I4/mmm (No. 139)
Asymmetric unit:
Mn (0.0000, 0.5000, 0.2500) x4
Cr (0.0000, 0.0000, 0.0000) x2
Te (0.0000, 0.0000, 0.5000) x2

***

Record 23
Compound: MnCr4Te8
Source: Alexandria via LeMat-Bulk
Functional: GGA-PBE
Structure: optimized geometry

Properties
**VASP energy**: -5.783 eV/atom
**Formation energy from raw total energies**: -2.38 eV/f.u.
**N(E_F)**: 0.398 states/eV per atom

Cell lengths 7.7998, 7.7998, 19.5844 Å; angles 90.00, 90.00, 120.00 degrees
Space group R-3m (No. 166, hexagonal axes)
Asymmetric unit:
Mn (0.0000, 0.0000, 0.0000) x3
Cr (0.0000, 0.0000, 0.5000) x3
Cr (0.0000, 0.5000, 0.5000) x9
Te (0.0000, 0.0000, 0.2453) x6
Te (0.0039, 0.5020, 0.7537) x18

***

Record 24
Compound: MnCrTe3
Source: Alexandria via LeMat-Bulk
Functional: GGA-PBE
Structure: optimized geometry

Properties
**VASP energy**: -5.637 eV/atom
**Formation energy from raw total energies**: 0.03 eV/f.u.
**Offset from the most stable computed form**: 185 meV per atom
**N(E_F)**: 0.400 states/eV per atom

Cell lengths 6.8780, 6.8780, 6.9289 Å; angles 90.00, 90.00, 120.00 degrees
Space group P-31m (No. 162)
Asymmetric unit:
Mn (0.3333, 0.6667, 0.0000) x2
Cr (0.0000, 0.0000, 0.1368) x2
Te (0.0000, 0.3594, 0.7623) x6

***

Record 25
Compound: MnCrTe3
Source: Alexandria via LeMat-Bulk
Functional: GGA-PBE
Structure: optimized geometry

Properties
**VASP energy**: -5.821 eV/atom
**Formation energy from raw total energies**: -0.89 eV/f.u.
**Offset from the most stable computed form**: 0 meV per atom
**N(E_F)**: 0.317 states/eV per atom

Cell lengths 6.9827, 6.9827, 18.2948 Å; angles 90.00, 90.00, 120.00 degrees
Space group R-3 (No. 148, hexagonal axes)
Asymmetric unit:
Mn (0.0000, 0.0000, 0.1570) x6
Cr (0.0000, 0.0000, 0.3416) x6
Te (0.0024, 0.6841, 0.2508) x18

***

Record 26
Compound: Mn3CrTe4
Source: Alexandria via LeMat-Bulk
Functional: GGA-PBE
Structure: optimized geometry

Properties
**VASP energy**: -6.293 eV/atom
**Formation energy from raw total energies**: -0.65 eV/f.u.
**N(E_F)**: 0.468 states/eV per atom

Cell lengths 4.2114, 4.2114, 11.9515 Å; angles 90.00, 90.00, 120.00 degrees
Space group P-3m1 (No. 164)
Asymmetric unit:
Mn (0.0000, 0.0000, 0.0000) x1
Mn (0.0000, 0.0000, 0.2472) x2
Cr (0.0000, 0.0000, 0.5000) x1
Te (0.3333, 0.6667, 0.3792) x2
Te (0.3333, 0.6667, 0.8734) x2